[1]
{"formula": "MnTe2", "functional": "PBE", "state": "relaxed", "lattice_angstrom": [[0.000, 4.471, 4.471], [4.471, 0.000, 4.471], [4.471, 4.471, 0.000]], "species": ["Mn", "Mn", "Te", "Te", "Te", "Te"], "frac_coords": [[0.750, 0.750, 0.750], [0.500, 0.500, 0.500], [0.125, 0.625, 0.125], [0.125, 0.125, 0.125], [0.125, 0.125, 0.625], [0.625, 0.125, 0.125]], "total_energy_ev_per_cell": -25.6, "m_tot_mub_per_atom": 1.712, "n_ef_per_ev_cell": 3.59, "volume_a3_per_cell": 178.75, "sg": "Fd-3m (227)", "formation_energy_uncorrected_kj_per_mol_atoms": 85.96}



[2]
{"formula": "MnTe", "functional": "PBE", "state": "relaxed", "lattice_angstrom": [[-2.212, 4.083, -1.962], [-4.995, 0.579, 0.359], [-1.916, 3.535, 3.041]], "species": ["Mn", "Mn", "Te", "Te"], "frac_coords": [[0.750, 0.750, 0.750], [0.000, 0.000, 0.000], [0.500, 0.500, 0.500], [0.250, 0.250, 0.250]], "total_energy_ev_per_cell": -22.0, "m_tot_mub_per_atom": 2.131, "n_ef_per_ev_cell": 4.45, "volume_a3_per_cell": 90.59, "sg": "Fd-3m (227)", "formation_energy_uncorrected_kj_per_mol_atoms": 64.26}



[3]
{"formula": "Mn2Te", "functional": "PBE", "state": "relaxed", "lattice_angstrom": [[-1.256, -2.348, -4.601], [4.146, -1.747, 2.831], [-4.946, -5.228, 4.018]], "species": ["Mn", "Mn", "Mn", "Mn", "Mn", "Mn", "Mn", "Mn", "Te", "Te", "Te", "Te"], "frac_coords": [[0.000, 0.000, 0.000], [0.838, 0.162, 0.250], [0.324, 0.162, 0.250], [0.676, 0.838, 0.750], [0.000, 0.000, 0.500], [0.838, 0.676, 0.250], [0.162, 0.324, 0.750], [0.162, 0.838, 0.750], [0.667, 0.333, 0.955], [0.333, 0.667, 0.045], [0.333, 0.667, 0.455], [0.667, 0.333, 0.545]], "total_energy_ev_per_cell": -80.0, "m_tot_mub_per_atom": 1.784, "n_ef_per_ev_cell": 11.58, "volume_a3_per_cell": 201.71, "sg": "P6_3/mmc (194)", "formation_energy_uncorrected_kj_per_mol_atoms": 47.95}



[4]
{"formula": "Mn3Te", "functional": "PBE", "state": "relaxed", "lattice_angstrom": [[4.850, 0.000, 0.000], [0.000, 4.850, 0.000], [0.000, 0.000, 4.850]], "species": ["Te", "Te", "Mn", "Mn", "Mn", "Mn", "Mn", "Mn"], "frac_coords": [[0.000, 0.000, 0.000], [0.500, 0.500, 0.500], [0.500, 0.000, 0.250], [0.750, 0.500, 0.000], [0.000, 0.750, 0.500], [0.250, 0.500, 0.000], [0.000, 0.250, 0.500], [0.500, 0.000, 0.750]], "total_energy_ev_per_cell": -58.8, "m_tot_mub_per_atom": 1.772, "relative_energy_mev_per_atom": 51, "n_ef_per_ev_cell": 8.02, "volume_a3_per_cell": 114.06, "sg": "Pm-3n (223)", "formation_energy_uncorrected_kj_per_mol_atoms": 29.66}



[5]
{"formula": "MnTe", "functional": "PBE", "state": "relaxed", "lattice_angstrom": [[-6.570, 2.091, -3.641], [3.355, -1.451, -6.887], [-2.525, -7.370, 0.323]], "species": ["Mn", "Mn", "Mn", "Mn", "Mn", "Mn", "Mn", "Mn", "Te", "Te", "Te", "Te", "Te", "Te", "Te", "Te"], "frac_coords": [[0.887, 0.887, 0.113], [0.387, 0.387, 0.613], [0.113, 0.887, 0.887], [0.887, 0.113, 0.887], [0.113, 0.113, 0.113], [0.387, 0.613, 0.387], [0.613, 0.387, 0.387], [0.613, 0.613, 0.613], [0.305, 0.695, 0.695], [0.805, 0.195, 0.195], [0.805, 0.805, 0.805], [0.305, 0.305, 0.305], [0.695, 0.695, 0.305], [0.695, 0.305, 0.695], [0.195, 0.195, 0.805], [0.195, 0.805, 0.195]], "total_energy_ev_per_cell": -97.7, "m_tot_mub_per_atom": 0.997, "n_ef_per_ev_cell": 0.00, "volume_a3_per_cell": 473.94, "sg": "I-43m (217)", "formation_energy_uncorrected_kj_per_mol_atoms": 4.99}



[6]
{"formula": "MnTe", "functional": "PBE", "state": "relaxed", "lattice_angstrom": [[-1.537, -0.479, 3.519], [-2.253, -0.202, -3.140], [1.251, -7.203, -0.434]], "species": ["Mn", "Mn", "Te", "Te"], "frac_coords": [[0.333, 0.667, 0.250], [0.667, 0.333, 0.750], [0.000, 0.000, 0.000], [0.000, 0.000, 0.500]], "total_energy_ev_per_cell": -24.2, "m_tot_mub_per_atom": 2.185, "n_ef_per_ev_cell": 2.92, "volume_a3_per_cell": 94.98, "sg": "P6_3/mmc (194)", "formation_energy_uncorrected_kj_per_mol_atoms": 11.06}



[7]
{"formula": "Mn3Te", "functional": "PBE", "state": "relaxed", "lattice_angstrom": [[-2.130, -3.171, 0.150], [2.481, -1.550, 2.461], [-1.980, 1.469, 2.922]], "species": ["Mn", "Mn", "Mn", "Te"], "frac_coords": [[0.000, 0.500, 0.500], [0.500, 0.500, 0.000], [0.500, 0.000, 0.500], [0.000, 0.000, 0.000]], "total_energy_ev_per_cell": -29.6, "m_tot_mub_per_atom": 1.609, "relative_energy_mev_per_atom": 0, "n_ef_per_ev_cell": 3.50, "volume_a3_per_cell": 55.87, "sg": "Pm-3m (221)", "formation_energy_uncorrected_kj_per_mol_atoms": 24.77}



[8]
{"formula": "MnTe2", "functional": "PBE", "state": "relaxed", "lattice_angstrom": [[-6.516, -1.093, 2.616], [-4.170, -2.536, 5.165], [-2.365, 5.526, 5.304]], "species": ["Mn", "Mn", "Te", "Te", "Te", "Te"], "frac_coords": [[0.607, 0.607, 0.667], [0.973, 0.973, 0.998], [0.631, 0.631, 0.976], [0.396, 0.396, 0.833], [0.395, 0.395, 0.282], [0.164, 0.164, 0.411]], "total_energy_ev_per_cell": -31.0, "m_tot_mub_per_atom": 1.203, "n_ef_per_ev_cell": 3.18, "volume_a3_per_cell": 186.82, "sg": "Cm (8)", "formation_energy_uncorrected_kj_per_mol_atoms": -2.10}



[9]
{"formula": "MnTe2", "functional": "PBE", "state": "relaxed", "lattice_angstrom": [[-5.831, 3.743, -0.609], [-0.815, -1.793, -3.210], [-1.345, -5.430, 3.375]], "species": ["Mn", "Mn", "Te", "Te", "Te", "Te"], "frac_coords": [[0.535, 0.500, 0.977], [0.535, 0.000, 0.477], [0.786, 0.000, 0.895], [0.786, 0.500, 0.395], [0.287, 0.000, 0.725], [0.287, 0.500, 0.225]], "total_energy_ev_per_cell": -31.7, "m_tot_mub_per_atom": 1.014, "n_ef_per_ev_cell": 2.51, "volume_a3_per_cell": 162.13, "sg": "Cm (8)", "formation_energy_uncorrected_kj_per_mol_atoms": -12.88}



[10]
{"formula": "MnTe", "functional": "PBE", "state": "relaxed", "lattice_angstrom": [[4.096, 0.000, 0.000], [0.000, 6.998, 0.008], [0.000, 2.173, 6.734]], "species": ["Te", "Te", "Te", "Te", "Mn", "Mn", "Mn", "Mn"], "frac_coords": [[0.250, 0.519, 0.747], [0.750, 0.012, 0.717], [0.250, 0.988, 0.283], [0.750, 0.481, 0.253], [0.250, 0.127, 0.897], [0.750, 0.712, 0.507], [0.250, 0.288, 0.493], [0.750, 0.873, 0.103]], "total_energy_ev_per_cell": -49.4, "m_tot_mub_per_atom": 1.755, "n_ef_per_ev_cell": 5.10, "volume_a3_per_cell": 192.93, "sg": "P2_1/m (11)", "formation_energy_uncorrected_kj_per_mol_atoms": -1.34}



[11]
{"formula": "MnTe", "functional": "PBE", "state": "relaxed", "lattice_angstrom": [[-0.324, -1.400, -3.175], [-2.436, -2.900, 1.527], [-5.402, 3.918, -1.176]], "species": ["Te", "Te", "Mn", "Mn"], "frac_coords": [[0.500, 0.000, 0.398], [0.500, 0.500, 0.935], [0.000, 0.000, 0.055], [0.000, 0.500, 0.278]], "total_energy_ev_per_cell": -24.2, "m_tot_mub_per_atom": 1.599, "n_ef_per_ev_cell": 2.22, "volume_a3_per_cell": 96.43, "sg": "Pmma (51)", "formation_energy_uncorrected_kj_per_mol_atoms": 10.46}



[12]
{"formula": "Mn3Te", "functional": "PBE", "state": "relaxed", "lattice_angstrom": [[-4.261, 0.896, 0.241], [-0.197, -1.618, 2.541], [0.934, 3.728, 2.666]], "species": ["Mn", "Mn", "Mn", "Te"], "frac_coords": [[0.000, 0.494, 0.526], [0.500, 0.750, 0.750], [0.000, 0.006, 0.974], [0.500, 0.250, 0.250]], "total_energy_ev_per_cell": -28.7, "m_tot_mub_per_atom": 1.912, "relative_energy_mev_per_atom": 240, "n_ef_per_ev_cell": 4.18, "volume_a3_per_cell": 61.52, "sg": "P2/m (10)", "formation_energy_uncorrected_kj_per_mol_atoms": 47.88}